P:
A geometry-optimized CuOs2 structure, computed with GGA-PBE.

Lattice parameters (Å, degrees): 5.021 5.021 6.366 75.55 75.55 32.13
Fractional coordinates of all 6 atoms:
Cu 0.021 0.021 0.193
Cu 0.979 0.979 0.807
Os 0.357 0.357 0.542
Os 0.700 0.700 0.863
Os 0.300 0.300 0.137
Os 0.643 0.643 0.458

Space group: C2/m (12)
Calculated volume (Å³ per cell): 82.4

Q:
A geometry-optimized CuOs2 structure, computed with GGA-PBE.

Lattice parameters (Å, degrees): 6.076 6.076 3.752 90.00 90.00 143.61
Fractional coordinates of all 6 atoms:
Cu 0.919 0.081 0.250
Cu 0.081 0.919 0.750
Os 0.585 0.415 0.250
Os 0.415 0.585 0.750
Os 0.245 0.755 0.250
Os 0.755 0.245 0.750

Space group: Cmcm (63)
Calculated volume (Å³ per cell): 82.2

R:
A geometry-optimized CuOs2 structure, computed with GGA-PBE.

Lattice parameters (Å, degrees): 3.809 3.809 11.715 99.36 99.36 90.00
Fractional coordinates of all 12 atoms:
Os 0.244 0.244 0.488
Os 0.756 0.756 0.512
Os 0.494 0.994 0.988
Os 0.006 0.506 0.012
Os 0.416 0.416 0.831
Os 0.584 0.584 0.169
Os 0.666 0.166 0.331
Os 0.834 0.334 0.669
Cu 0.082 0.082 0.164
Cu 0.918 0.918 0.836
Cu 0.332 0.832 0.664
Cu 0.168 0.668 0.336

Space group: I4_1/amd (141)
Calculated volume (Å³ per cell): 165.4

The energy of each structure relative to the most stable one, in meV/atom, is as follows: P 0; Q 127; R 217.

P:
A geometry-optimized CuOs2 structure, computed with GGA-PBE.

Lattice parameters (Å, degrees): 2.720 2.720 6.524 90.00 90.00 120.00
Fractional coordinates of all 3 atoms:
Cu 0.000 0.000 0.000
Os 0.333 0.667 0.662
Os 0.667 0.333 0.338

Space group: P-3m1 (164)
Calculated volume (Å³ per cell): 41.8

Q:
A geometry-optimized CuOs2 structure, computed with GGA-PBE.

Lattice parameters (Å, degrees): 5.131 5.131 8.201 90.00 90.00 60.00
Fractional coordinates of all 12 atoms:
Os 0.000 0.000 0.000
Os 0.000 0.000 0.500
Os 0.175 0.651 0.250
Os 0.825 0.349 0.750
Os 0.175 0.175 0.250
Os 0.651 0.175 0.250
Os 0.349 0.825 0.750
Os 0.825 0.825 0.750
Cu 0.667 0.667 0.088
Cu 0.333 0.333 0.588
Cu 0.333 0.333 0.912
Cu 0.667 0.667 0.412

Space group: P6_3/mmc (194)
Calculated volume (Å³ per cell): 187.0

R:
A geometry-optimized CuOs2 structure, computed with GGA-PBE.

Lattice parameters (Å, degrees): 4.612 4.612 4.612 145.21 132.37 60.31
Fractional coordinates of all 3 atoms:
Cu 0.000 0.000 0.000
Os 0.671 0.671 0.000
Os 0.329 0.329 0.000

Space group: Immm (71)
Calculated volume (Å³ per cell): 41.0

The energy of each structure relative to the most stable one, in meV/atom, is as follows: P 20; Q 518; R 0.

P:
A geometry-optimized CuOs2 structure, computed with GGA-PBE.

Lattice parameters (Å, degrees): 3.539 3.539 3.982 90.00 90.00 90.00
Fractional coordinates of all 3 atoms:
Cu 0.000 0.000 0.000
Os 0.000 0.500 0.500
Os 0.500 0.000 0.500

Space group: P4/mmm (123)
Calculated volume (Å³ per cell): 49.9

Q:
A geometry-optimized CuOs2 structure, computed with GGA-PBE.

Lattice parameters (Å, degrees): 5.353 3.802 8.145 90.00 90.00 90.00
Fractional coordinates of all 12 atoms:
Os 0.130 0.250 0.263
Os 0.370 0.750 0.763
Os 0.630 0.250 0.237
Os 0.870 0.750 0.737
Os 0.119 0.250 0.584
Os 0.381 0.750 0.084
Os 0.619 0.250 0.916
Os 0.881 0.750 0.416
Cu 0.614 0.250 0.585
Cu 0.886 0.750 0.085
Cu 0.114 0.250 0.915
Cu 0.386 0.750 0.415

Space group: Pnma (62)
Calculated volume (Å³ per cell): 165.7

R:
A geometry-optimized CuOs2 structure, computed with GGA-PBE.

Lattice parameters (Å, degrees): 4.285 4.285 5.172 90.00 90.00 120.00
Fractional coordinates of all 6 atoms:
Cu 0.333 0.667 0.250
Cu 0.667 0.333 0.750
Os 0.000 0.000 0.000
Os 0.000 0.000 0.500
Os 0.333 0.667 0.750
Os 0.667 0.333 0.250

Space group: P6_3/mmc (194)
Calculated volume (Å³ per cell): 82.2

S:
A geometry-optimized CuOs2 structure, computed with GGA-PBE.

Lattice parameters (Å, degrees): 4.837 4.837 4.837 102.23 102.23 125.19
Fractional coordinates of all 6 atoms:
Cu 0.750 0.750 0.000
Cu 0.250 0.250 0.000
Os 0.644 0.144 0.788
Os 0.356 0.856 0.212
Os 0.856 0.644 0.500
Os 0.144 0.356 0.500

Space group: I4/mcm (140)
Calculated volume (Å³ per cell): 82.1

The energy of each structure relative to the most stable one, in meV/atom, is as follows: P 725; Q 0; R 225; S 118.

P:
A geometry-optimized CuOs2 structure, computed with GGA-PBE.

Lattice parameters (Å, degrees): 2.767 5.745 2.767 76.07 90.00 103.93
Fractional coordinates of all 3 atoms:
Cu 0.000 0.000 0.000
Os 0.330 0.660 0.670
Os 0.670 0.340 0.330

Space group: I4/mmm (139)
Calculated volume (Å³ per cell): 41.3

Q:
A geometry-optimized CuOs2 structure, computed with GGA-PBE.

Lattice parameters (Å, degrees): 4.256 4.256 5.694 90.00 90.00 120.00
Fractional coordinates of all 6 atoms:
Cu 0.000 0.000 0.250
Cu 0.000 0.000 0.750
Os 0.667 0.333 0.465
Os 0.333 0.667 0.965
Os 0.333 0.667 0.535
Os 0.667 0.333 0.035

Space group: P6_3/mmc (194)
Calculated volume (Å³ per cell): 89.3

The energy of each structure relative to the most stable one, in meV/atom, is as follows: P 0; Q 227.

P:
A geometry-optimized CuOs2 structure, computed with GGA-PBE.

Lattice parameters (Å, degrees): 7.110 7.110 4.352 90.00 90.00 157.86
Fractional coordinates of all 6 atoms:
Cu 0.724 0.276 0.750
Cu 0.276 0.724 0.250
Os 0.391 0.609 0.750
Os 0.056 0.944 0.750
Os 0.944 0.056 0.250
Os 0.609 0.391 0.250

Space group: Cmcm (63)
Calculated volume (Å³ per cell): 82.9

Q:
A geometry-optimized CuOs2 structure, computed with GGA-PBE.

Lattice parameters (Å, degrees): 5.109 5.109 5.109 60.00 60.00 60.00
Fractional coordinates of all 6 atoms:
Cu 0.500 0.500 0.500
Cu 0.750 0.750 0.750
Os 0.125 0.125 0.125
Os 0.125 0.625 0.125
Os 0.125 0.125 0.625
Os 0.625 0.125 0.125

Space group: Fd-3m (227)
Calculated volume (Å³ per cell): 94.3

The energy of each structure relative to the most stable one, in meV/atom, is as follows: P 0; Q 725.

P:
A geometry-optimized CuOs4 structure, computed with GGA-PBE.

Lattice parameters (Å, degrees): 4.693 4.693 4.693 99.53 99.53 131.98
Fractional coordinates of all 5 atoms:
Cu 0.000 0.000 0.000
Os 0.203 0.412 0.615
Os 0.588 0.203 0.791
Os 0.797 0.588 0.385
Os 0.412 0.797 0.209

Space group: I4/m (87)
Calculated volume (Å³ per cell): 70.2

Q:
A geometry-optimized CuOs4 structure, computed with GGA-PBE.

Lattice parameters (Å, degrees): 6.372 6.372 6.372 145.36 145.36 49.80
Fractional coordinates of all 5 atoms:
Cu 0.000 0.000 0.000
Os 0.250 0.750 0.500
Os 0.604 0.604 0.000
Os 0.396 0.396 0.000
Os 0.750 0.250 0.500

Space group: I4/mmm (139)
Calculated volume (Å³ per cell): 83.2

The energy of each structure relative to the most stable one, in meV/atom, is as follows: P 0; Q 514.

P:
A geometry-optimized Cu4Os structure, computed with GGA-PBE.

Lattice parameters (Å, degrees): 4.625 4.625 4.625 90.00 90.00 90.00
Fractional coordinates of all 5 atoms:
Os 0.500 0.500 0.500
Cu 0.000 0.000 0.000
Cu 0.500 0.000 0.500
Cu 0.000 0.500 0.500
Cu 0.500 0.500 0.000

Space group: Pm-3m (221)
Calculated volume (Å³ per cell): 98.9

Q:
A geometry-optimized Cu4Os structure, computed with GGA-PBE.

Lattice parameters (Å, degrees): 9.377 9.377 9.377 164.00 164.00 22.70
Fractional coordinates of all 5 atoms:
Cu 0.605 0.605 0.000
Cu 0.202 0.202 0.000
Cu 0.798 0.798 0.000
Cu 0.395 0.395 0.000
Os 0.000 0.000 0.000

Space group: I4/mmm (139)
Calculated volume (Å³ per cell): 62.6

The energy of each structure relative to the most stable one, in meV/atom, is as follows: P 1371; Q 0.

P:
A geometry-optimized Cu4Os structure, computed with GGA-PBE.

Lattice parameters (Å, degrees): 10.630 10.630 10.630 14.24 14.24 14.24
Fractional coordinates of all 5 atoms:
Cu 0.903 0.903 0.903
Cu 0.301 0.301 0.301
Cu 0.699 0.699 0.699
Cu 0.097 0.097 0.097
Os 0.500 0.500 0.500

Space group: R-3m (166)
Calculated volume (Å³ per cell): 63.3

Q:
A geometry-optimized Cu4Os structure, computed with GGA-PBE.

Lattice parameters (Å, degrees): 6.267 6.267 6.267 148.84 148.84 44.65
Fractional coordinates of all 5 atoms:
Cu 0.750 0.250 0.500
Cu 0.250 0.750 0.500
Cu 0.598 0.598 0.000
Cu 0.402 0.402 0.000
Os 0.000 0.000 0.000

Space group: I4/mmm (139)
Calculated volume (Å³ per cell): 65.7

The energy of each structure relative to the most stable one, in meV/atom, is as follows: P 0; Q 515.